Ba2YNi: relaxed, GGA-PBEsol.

Cell: 3.6413 3.6413 10.1328 Å, 90.00 90.00 90.00°
Fractional coordinates of all 4 atoms:
Ba: 0.0000 0.0000 0.9668
Ni: 0.0000 0.0000 0.5424
Ba: 0.5000 0.5000 0.3308
Y: 0.5000 0.5000 0.6599

Results
**Size of the total moment**: 0.0 μB/cell
**Space group**: P4mm (99)
**Energy relative to the elements**: 0.0413 eV per atom
**Density**: 5219 kg/m³